No. 1
## SnOs2F (GGA-PBE)

Data for a relaxed structure of SnOs2F.

Unit cell a=4.4316 b=4.4316 c=4.4316 alpha=60.00 beta=60.00 gamma=60.00
With the nearest neighbours (Å) after each atom.
Positions (direct):
1 Sn 0.5000 0.5000 0.5000  8 Os 2.71
2 Os 0.7500 0.7500 0.7500  4 F 2.71, 4 Sn 2.71
3 Os 0.2500 0.2500 0.2500  4 Sn 2.71, 4 F 2.71
4 F 0.0000 0.0000 0.0000  8 Os 2.71

Calculated values
**Final energy**: -0.4662 Ry/atom
**Crystal system**: cubic
**Fermi-level density of states**: 0.7682 states/eV per atom
**Offset from the most stable computed form**: 24.6 meV per atom

No. 2
## SnOsF3 (GGA-PBE)

Data for a relaxed structure of SnOsF3.

Unit cell a=4.2863 b=4.2863 c=4.2863 alpha=90.00 beta=90.00 gamma=90.00
With the nearest neighbours (Å) after each atom.
Positions (direct):
1 F 0.5000 0.0000 0.0000  2 Os 2.14
2 F 0.0000 0.0000 0.5000  2 Os 2.14
3 F 0.0000 0.5000 0.0000  2 Os 2.14
4 Os 0.0000 0.0000 0.0000  6 F 2.14
5 Sn 0.5000 0.5000 0.5000  12 F 3.03

Calculated values
**Final energy**: -0.3441 Ry/atom
**Crystal system**: cubic
**Fermi-level density of states**: 0.8677 states/eV per atom
**Offset from the most stable computed form**: 0.0 meV per atom

No. 3
## Sn3OsF (GGA-PBE)

Data for a relaxed structure of Sn3OsF.

Unit cell a=5.1154 b=5.1154 c=5.1154 alpha=90.00 beta=90.00 gamma=90.00
With the nearest neighbours (Å) after each atom.
Positions (direct):
1 Os 0.0000 0.0000 0.0000  6 Sn 2.56
2 Sn 0.0000 0.0000 0.5000  2 Os 2.56
3 Sn 0.0000 0.5000 0.0000  2 Os 2.56
4 Sn 0.5000 0.0000 0.0000  2 Os 2.56
5 F 0.5000 0.5000 0.5000  12 Sn 3.62

Calculated values
**Final energy**: -0.3843 Ry/atom
**Crystal system**: cubic
**Fermi-level density of states**: 0.8539 states/eV per atom
**Offset from the most stable computed form**: 0.0 meV per atom

No. 4
## SnOs2F (GGA-PBE)

Data for a relaxed structure of SnOs2F.

Unit cell a=7.2277 b=7.2277 c=5.6612 alpha=50.33 beta=50.33 gamma=90.00
With the nearest neighbours (Å) after each atom.
Positions (direct):
1 F 0.5000 0.5000 0.0000  4 Os 2.38, 2 Sn 2.43
2 F 0.2500 0.7500 0.5000  4 Os 2.38, 2 Sn 2.43
3 Os 0.3750 0.4270 0.7500  2 F 2.38, 2 Os 2.55
4 Os 0.5730 0.1250 0.2500  2 F 2.38, 2 Os 2.55
5 Os 0.8750 0.8230 0.7500  2 F 2.38, 2 Os 2.55
6 Os 0.1770 0.6250 0.2500  2 F 2.38, 2 Os 2.55
7 Sn 0.7500 0.2500 0.5000  2 F 2.43
8 Sn 0.0000 0.0000 0.0000  2 F 2.43

Calculated values
**Final energy**: -0.4680 Ry/atom
**Crystal system**: tetragonal
**Fermi-level density of states**: 1.7756 states/eV per atom
**Offset from the most stable computed form**: 0.0 meV per atom

No. 5
## SnOsF3 (GGA-PBE)

Data for a relaxed structure of SnOsF3.

Unit cell a=4.5907 b=4.5907 c=4.5907 alpha=90.00 beta=90.00 gamma=90.00
With the nearest neighbours (Å) after each atom.
Positions (direct):
1 Os 0.5000 0.5000 0.5000  12 F 3.25
2 F 0.0000 0.0000 0.5000  2 Sn 2.30
3 F 0.0000 0.5000 0.0000  2 Sn 2.30
4 F 0.5000 0.0000 0.0000  2 Sn 2.30
5 Sn 0.0000 0.0000 0.0000  6 F 2.30

Calculated values
**Final energy**: -0.3293 Ry/atom
**Crystal system**: cubic
**Fermi-level density of states**: 1.3412 states/eV per atom
**Offset from the most stable computed form**: 201.6 meV per atom

No. 6
## Sn2Os2F (GGA-PBE)

Data for a relaxed structure of Sn2Os2F.

Unit cell a=7.7974 b=7.7974 c=3.0297 alpha=90.00 beta=90.00 gamma=90.00
With the nearest neighbours (Å) after each atom.
Positions (direct):
1 Os 0.6147 0.8853 0.5000  1 Os 2.53, 6 Sn 2.71-2.81
2 Os 0.8853 0.3853 0.5000  1 Os 2.53, 6 Sn 2.71-2.81
3 Os 0.3853 0.1147 0.5000  1 Os 2.53, 6 Sn 2.71-2.81
4 Os 0.1147 0.6147 0.5000  1 Os 2.53, 6 Sn 2.71-2.81
5 Sn 0.6820 0.1820 0.0000  6 Os 2.71-2.81, 2 F 2.86, 2 Sn 3.03
6 Sn 0.1820 0.3180 0.0000  6 Os 2.71-2.81, 2 F 2.86, 2 Sn 3.03
7 Sn 0.3180 0.8180 0.0000  6 Os 2.71-2.81, 2 F 2.86, 2 Sn 3.03
8 Sn 0.8180 0.6820 0.0000  6 Os 2.71-2.81, 2 F 2.86, 2 Sn 3.03
9 F 0.5000 0.5000 0.0000  4 Sn 2.86, 2 F 3.03
10 F 0.0000 0.0000 0.0000  4 Sn 2.86, 2 F 3.03

Calculated values
**Final energy**: -0.4584 Ry/atom
**Crystal system**: tetragonal
**Fermi-level density of states**: 0.4399 states/eV per atom
**Offset from the most stable computed form**: 228.2 meV per atom

No. 7
## Sn2Os2F (GGA-PBE)

Data for a relaxed structure of Sn2Os2F.

Unit cell a=3.6332 b=3.6332 c=7.7519 alpha=76.45 beta=76.45 gamma=90.00
With the nearest neighbours (Å) after each atom.
Positions (direct):
1 Sn 0.6002 0.6002 0.7995  4 Os 2.85, 1 Sn 2.93, 4 F 2.96
2 Sn 0.3998 0.3998 0.2005  4 Os 2.85, 1 Sn 2.93, 4 F 2.96
3 Os 0.2500 0.7500 0.5000  4 Os 2.57, 4 Sn 2.85
4 Os 0.7500 0.2500 0.5000  4 Os 2.57, 4 Sn 2.85
5 F 0.0000 0.0000 0.0000  8 Sn 2.96

Calculated values
**Final energy**: -0.4751 Ry/atom
**Crystal system**: tetragonal
**Fermi-level density of states**: 0.8677 states/eV per atom
**Offset from the most stable computed form**: 0.0 meV per atom

No. 8
## SrOs3F (GGA-PBE)

Data for a relaxed structure of SrOs3F.

Unit cell a=5.0880 b=5.0880 c=5.0880 alpha=90.00 beta=90.00 gamma=90.00
With the nearest neighbours (Å) after each atom.
Positions (direct):
1 Sr 0.0000 0.0000 0.0000  6 Os 2.54
2 F 0.5000 0.5000 0.5000  12 Os 3.60
3 Os 0.0000 0.5000 0.0000  2 Sr 2.54
4 Os 0.0000 0.0000 0.5000  2 Sr 2.54
5 Os 0.5000 0.0000 0.0000  2 Sr 2.54

Calculated values
**Final energy**: -0.2799 Ry/atom
**Crystal system**: cubic
**Fermi-level density of states**: 1.0193 states/eV per atom
**Offset from the most stable computed form**: 2064.7 meV per atom

Please write out number 2 again, unchanged.
## SnOsF3 (GGA-PBE)

Data for a relaxed structure of SnOsF3.

Unit cell a=4.2863 b=4.2863 c=4.2863 alpha=90.00 beta=90.00 gamma=90.00
With the nearest neighbours (Å) after each atom.
Positions (direct):
1 F 0.5000 0.0000 0.0000  2 Os 2.14
2 F 0.0000 0.0000 0.5000  2 Os 2.14
3 F 0.0000 0.5000 0.0000  2 Os 2.14
4 Os 0.0000 0.0000 0.0000  6 F 2.14
5 Sn 0.5000 0.5000 0.5000  12 F 3.03

Calculated values
**Final energy**: -0.3441 Ry/atom
**Crystal system**: cubic
**Fermi-level density of states**: 0.8677 states/eV per atom
**Offset from the most stable computed form**: 0.0 meV per atom

Which value of Fermi-level density of states does entry 4 give?
1.7756 states/eV per atom

What is the formula in the third record?
Sn3OsF